1.
First-principles (PBE) data for AcCeBiO6 after structural relaxation, as listed in the Alexandria database.

Results
Total magnetic moment (μB per formula unit): 0.00
Total energy (eV per cell): -63.8
Formation energy (no corrections) (kJ per mole of atoms): -216.0

Cell lengths 5.9215, 5.9215, 4.8940 Å; angles 90.00, 90.00, 120.00 degrees
Atoms (fractional coordinates):
Ac (0.0000, 0.0000, 0.0000)
Ce (0.6667, 0.3333, 0.5000)
Bi (0.3333, 0.6667, 0.0000)
O (0.0103, 0.3750, 0.2433)
O (0.0103, 0.6352, 0.7567)
O (0.3648, 0.3750, 0.7567)
O (0.3648, 0.9897, 0.2433)
O (0.6250, 0.6352, 0.2433)
O (0.6250, 0.9897, 0.7567)

=====

2.
First-principles (PBE) data for CsReOs2O after structural relaxation, as listed in the Alexandria database.

Results
Total magnetic moment (μB per formula unit): 0.00
Density of states at the Fermi level (states/eV/cell): 6.8
Total energy (eV per cell): -31.5
Formation energy (no corrections) (kJ per mole of atoms): 177.8

Cell lengths 4.0617, 4.0617, 5.1067 Å; angles 90.00, 90.00, 90.00 degrees
Atoms (fractional coordinates):
Cs (0.0000, 0.0000, 0.0000)
Re (0.5000, 0.5000, 0.0000)
Os (0.0000, 0.5000, 0.5000)
Os (0.5000, 0.0000, 0.5000)
O (0.0000, 0.0000, 0.5000)

=====

What is the formation energy (no corrections) in the first record?
-216.0 kJ per mole of atoms

=====

What is the formula in the first record?
AcCeBiO6

=====

Copy entry 1 word for word.
First-principles (PBE) data for AcCeBiO6 after structural relaxation, as listed in the Alexandria database.

Results
Total magnetic moment (μB per formula unit): 0.00
Total energy (eV per cell): -63.8
Formation energy (no corrections) (kJ per mole of atoms): -216.0

Cell lengths 5.9215, 5.9215, 4.8940 Å; angles 90.00, 90.00, 120.00 degrees
Atoms (fractional coordinates):
Ac (0.0000, 0.0000, 0.0000)
Ce (0.6667, 0.3333, 0.5000)
Bi (0.3333, 0.6667, 0.0000)
O (0.0103, 0.3750, 0.2433)
O (0.0103, 0.6352, 0.7567)
O (0.3648, 0.3750, 0.7567)
O (0.3648, 0.9897, 0.2433)
O (0.6250, 0.6352, 0.2433)
O (0.6250, 0.9897, 0.7567)